Entry 1:
Here is CeGaPt after structural relaxation from Alexandria. Energies are from PBE-GGA.

a = 11.541 Å, b = 11.541 Å, c = 11.541 Å
α = 157.62°, β = 45.82°, γ = 140.55°
Fractional positions:
Ce1 0.000 0.000 0.000
Ce2 0.091 0.928 0.164
Ce3 0.339 0.010 0.329
Ce4 0.436 0.936 0.500
Ce5 0.681 0.010 0.671
Ce6 0.764 0.928 0.836
Ga1 0.198 0.300 0.898
Ga2 0.367 0.640 0.727
Ga3 0.402 0.300 0.102
Ga4 0.737 0.301 0.436
Ga5 0.865 0.301 0.564
Ga6 0.913 0.640 0.273
Pt1 0.038 0.633 0.405
Pt2 0.069 0.310 0.758
Pt3 0.228 0.633 0.595
Pt4 0.549 0.628 0.921
Pt5 0.552 0.310 0.242
Pt6 0.707 0.628 0.079

Computed properties:
Volume (Å³ per cell): 370.8
SG: No. 44
Electronic total energy (eV/atom): -6.01
Magnetization (μB per formula unit): 0.42



Entry 2:
Here is SiAs3F after structural relaxation from Alexandria. Energies are from PBE-GGA.

a = 4.720 Å, b = 4.720 Å, c = 4.720 Å
α = 90.00°, β = 90.00°, γ = 90.00°
Fractional positions:
Si1 0.000 0.000 0.000
As1 0.000 0.000 0.500
As2 0.000 0.500 0.000
As3 0.500 0.000 0.000
F1 0.500 0.500 0.500

Computed properties:
ΔE_f (raw) (kJ per mole of atoms): 39.8
Volume (Å³ per cell): 105.2
SG: No. 221
Electronic total energy (eV/atom): -3.84
Magnetization (μB per formula unit): 0.00



Entry 3:
Here is CaMn2Se after structural relaxation from Alexandria. Energies are from PBE-GGA.

a = 4.864 Å, b = 4.864 Å, c = 4.909 Å
α = 104.16°, β = 104.16°, γ = 40.95°
Fractional positions:
Ca1 0.000 0.000 0.000
Mn1 0.223 0.223 0.610
Mn2 0.777 0.777 0.390
Se1 0.500 0.500 0.500

Computed properties:
ΔE_f (raw) (kJ per mole of atoms): 17.4
Volume (Å³ per cell): 73.5
SG: No. 12
Electronic total energy (eV/atom): -5.78
Magnetization (μB per formula unit): 1.57



Entry 4:
Here is CeLuThSn after structural relaxation from Alexandria. Energies are from PBE-GGA.

a = 5.412 Å, b = 5.412 Å, c = 5.412 Å
α = 60.00°, β = 60.00°, γ = 60.00°
Fractional positions:
Ce1 0.000 0.000 0.000
Lu1 0.750 0.750 0.750
Th1 0.250 0.250 0.250
Sn1 0.500 0.500 0.500

Computed properties:
Volume (Å³ per cell): 112.1
SG: No. 216
Electronic total energy (eV/atom): -5.57
Magnetization (μB per formula unit): 1.08



Entry 5:
Here is Tb2TlPtO5 after structural relaxation from Alexandria. Energies are from PBE-GGA.

a = 6.673 Å, b = 6.673 Å, c = 5.860 Å
α = 90.00°, β = 90.00°, γ = 90.00°
Fractional positions:
Tb1 0.175 0.325 0.000
Tb2 0.325 0.825 0.000
Tb3 0.675 0.175 0.000
Tb4 0.825 0.675 0.000
Tl1 0.000 0.000 0.500
Tl2 0.500 0.500 0.500
Pt1 0.000 0.500 0.500
Pt2 0.500 0.000 0.500
O1 0.000 0.000 0.000
O2 0.133 0.633 0.233
O3 0.133 0.633 0.767
O4 0.367 0.133 0.233
O5 0.367 0.133 0.767
O6 0.500 0.500 0.000
O7 0.633 0.867 0.233
O8 0.633 0.867 0.767
O9 0.867 0.367 0.233
O10 0.867 0.367 0.767

Computed properties:
ΔE_f (raw) (kJ per mole of atoms): -204.4
Volume (Å³ per cell): 260.9
SG: No. 127
Electronic total energy (eV/atom): -6.84
Magnetization (μB per formula unit): 0.95



Entry 6:
Here is AgAsIrBr2 after structural relaxation from Alexandria. Energies are from PBE-GGA.

a = 5.093 Å, b = 5.093 Å, c = 5.219 Å
α = 90.00°, β = 90.00°, γ = 90.00°
Fractional positions:
Ag1 0.000 0.000 0.000
As1 0.000 0.000 0.500
Ir1 0.500 0.500 0.500
Br1 0.000 0.500 0.000
Br2 0.500 0.000 0.000

Computed properties:
ΔE_f (raw) (kJ per mole of atoms): 135.3
Volume (Å³ per cell): 135.4
SG: No. 123
Electronic total energy (eV/atom): -2.54
Magnetization (μB per formula unit): 1.84



Entry 7:
Here is PmMg4Pb2 after structural relaxation from Alexandria. Energies are from PBE-GGA.

a = 8.803 Å, b = 8.803 Å, c = 4.690 Å
α = 90.00°, β = 90.00°, γ = 90.00°
Fractional positions:
Pm1 0.000 0.000 0.000
Pm2 0.500 0.500 0.500
Mg1 0.099 0.356 0.500
Mg2 0.144 0.599 0.000
Mg3 0.356 0.099 0.500
Mg4 0.401 0.856 0.000
Mg5 0.599 0.144 0.000
Mg6 0.644 0.901 0.500
Mg7 0.856 0.401 0.000
Mg8 0.901 0.644 0.500
Pb1 0.198 0.802 0.500
Pb2 0.302 0.302 0.000
Pb3 0.698 0.698 0.000
Pb4 0.802 0.198 0.500

Computed properties:
Volume (Å³ per cell): 363.4
SG: No. 136
Electronic total energy (eV/atom): -2.84
Magnetization (μB per formula unit): 0.00



Entry 8:
Here is Tl8Se5 after structural relaxation from Alexandria. Energies are from PBE-GGA.

a = 8.460 Å, b = 8.460 Å, c = 9.879 Å
α = 122.07°, β = 122.07°, γ = 65.19°
Fractional positions:
Tl1 0.134 0.710 0.643
Tl2 0.195 0.195 0.111
Tl3 0.290 0.866 0.357
Tl4 0.310 0.310 0.833
Tl5 0.690 0.690 0.167
Tl6 0.710 0.134 0.643
Tl7 0.805 0.805 0.889
Tl8 0.866 0.290 0.357
Se1 0.000 0.000 0.500
Se2 0.235 0.765 0.000
Se3 0.291 0.291 0.490
Se4 0.709 0.709 0.510
Se5 0.765 0.235 0.000

Computed properties:
ΔE_f (raw) (kJ per mole of atoms): -28.9
Volume (Å³ per cell): 498.3
SG: No. 12
Electronic total energy (eV/atom): -3.10
Magnetization (μB per formula unit): 0.00